La2SbAu2: relaxed, PBE-GGA.

Output
theoretical density	9.26	g/cm3
electronic total energy	-4.8686	eV/atom
formation energy without anion corrections	-762	meV per atom
distance to the lowest polymorph of the same formula	146	meV per atom
spin magnetization	0.00	μB/f.u.
calculated volume	142.2	Å³/f.u.

Unit cell a=4.162 b=4.162 c=8.723 alpha=76.20 beta=76.20 gamma=90.00
Sites, in units of the cell vectors:
Sb  0.000  0.000  0.000
Au  0.750  0.250  0.500
Au  0.250  0.750  0.500
La  0.391  0.391  0.218
La  0.609  0.609  0.782